Material: La3PmPd2
Method: DFT, PBE
State: optimized geometry

Unit cell a=7.1871 b=7.4493 c=8.8306 alpha=114.95 beta=114.01 gamma=90.00
Positions (direct):
La1 0.2316 0.9816 0.4632
Pd1 0.8447 0.1394 0.2789
La2 0.2316 0.4816 0.4632
Pm1 0.0000 0.0000 0.0000
Pd2 0.4342 0.6394 0.2789
La3 0.5000 0.7500 0.0000
La4 0.5000 0.2500 0.0000
Pm2 0.0000 0.5000 0.0000
Pd3 0.5658 0.3606 0.7211
La5 0.7684 0.5184 0.5368
La6 0.7684 0.0184 0.5368
Pd4 0.1553 0.8606 0.7211

* polymorph energy (0 for the lowest one): 76.4 meV per atom
* space-group type: Ibam
* total magnetization: 0.00 μB per cell
* DOS(E_F): 12.87 states/eV per cell
* energy relative to the elements: -439 meV per atom

---

Material: ZrSiAu
Method: DFT, PBE
State: optimized geometry

Unit cell a=5.8995 b=5.8995 c=5.8995 alpha=149.21 beta=149.21 gamma=44.11
Positions (direct):
Si1 0.3399 0.3399 0.0000
Zr1 0.6755 0.6755 0.0000
Au1 0.9846 0.9846 0.0000

* uncorrected formation energy: -0.30 eV per atom
* space-group type: I4mm
* total magnetization: 0.00 μB per cell
* DOS(E_F): 2.11 states/eV per cell

---

Material: CaHg2Te2
Method: DFT, PBE
State: optimized geometry

Unit cell a=5.8055 b=5.8055 c=6.1922 alpha=62.05 beta=62.05 gamma=90.00
Positions (direct):
Ca1 0.0000 0.0000 0.0000
Te1 0.7500 0.2500 0.5000
Hg1 0.3532 0.3532 0.2936
Hg2 0.6468 0.6468 0.7064
Te2 0.2500 0.7500 0.5000

* uncorrected formation energy: -0.39 eV per atom
* polymorph energy (0 for the lowest one): 153.4 meV per atom
* space-group type: I4/mmm
* total magnetization: 0.00 μB per cell
* DOS(E_F): 2.51 states/eV per cell

---

Material: KMgAl
Method: DFT, PBE
State: optimized geometry

Unit cell a=5.3225 b=5.3225 c=5.3225 alpha=60.00 beta=60.00 gamma=60.00
Positions (direct):
Al1 0.7500 0.7500 0.7500
Mg1 0.5000 0.5000 0.5000
K1 0.0000 0.0000 0.0000

* polymorph energy (0 for the lowest one): 380.1 meV per atom
* space-group type: F-43m
* total magnetization: 0.00 μB per cell
* DOS(E_F): 2.48 states/eV per cell
* energy relative to the elements: 488 meV per atom

---

Material: TlGeH2Cl8
Method: DFT, PBE
State: optimized geometry

Unit cell a=6.8969 b=6.8703 c=7.7475 alpha=87.16 beta=87.10 gamma=79.42
Positions (direct):
Cl1 0.1848 0.7942 0.7920
H1 0.2644 0.2574 0.7059
Cl2 0.7993 0.1906 0.7920
Cl3 0.2007 0.8094 0.2080
Cl4 0.7112 0.7180 0.4653
Cl5 0.2193 0.2126 0.9691
Ge1 0.0000 0.0000 0.0000
Cl6 0.2888 0.2820 0.5347
Tl1 0.0000 0.0000 0.5000
Cl7 0.7807 0.7874 0.0309
H2 0.7356 0.7426 0.2941
Cl8 0.8152 0.2058 0.2080

* space-group type: P-1
* energy: -3.0031 eV/atom
* total magnetization: 0.00 μB per cell
* DOS(E_F): 3.26 states/eV per cell

---

Material: ScTa2Be
Method: DFT, PBE
State: optimized geometry

Unit cell a=2.8396 b=2.8396 c=8.4038 alpha=90.00 beta=90.00 gamma=90.16
Positions (direct):
Be1 0.5000 0.5000 0.2500
Ta1 0.0000 0.0000 0.0485
Ta2 0.0000 0.0000 0.4515
Sc1 0.5000 0.5000 0.7500

* space-group type: Cmmm
* total magnetization: 0.00 μB per cell
* DOS(E_F): 4.42 states/eV per cell
* energy relative to the elements: 121 meV per atom